A plane-wave DFT calculation with PBE-GGA was carried out for a relaxed Pr2TmCuSe5 crystal.

Unit cell a=4.0828 b=9.0831 c=12.1813 alpha=90.00 beta=90.00 gamma=102.99
Last column: nearest neighbours and their distance in Å.
Element x y z (fractional)
Pr 0.8767 0.7535 0.8094  8 Se 3.00-3.35
Pr 0.1093 0.2186 0.6870  8 Se 3.04-3.17
Pr 0.1233 0.2465 0.3094  8 Se 3.00-3.35
Pr 0.8907 0.7814 0.1870  8 Se 3.04-3.17
Tm 0.8065 0.6129 0.5107  6 Se 2.72-2.86
Tm 0.1935 0.3871 0.0107  6 Se 2.72-2.86
Cu 0.5651 0.1303 0.9546  4 Se 2.41-2.55
Cu 0.4349 0.8697 0.4546  4 Se 2.41-2.55
Se 0.3551 0.7102 0.0013  1 Tm 2.86, 4 Pr 3.11-3.13
Se 0.6893 0.3787 0.8490  1 Cu 2.55, 2 Tm 2.84
Se 0.4995 0.9989 0.7808  1 Cu 2.41
Se 0.2876 0.5751 0.6705  2 Tm 2.84, 3 Pr 3.09-3.16
Se 0.9560 0.9121 0.5606  2 Cu 2.44, 1 Tm 2.72
Se 0.6449 0.2898 0.5013  1 Tm 2.86, 4 Pr 3.11-3.13
Se 0.3107 0.6213 0.3490  1 Cu 2.55, 2 Tm 2.84
Se 0.5005 0.0011 0.2808  1 Cu 2.41
Se 0.7124 0.4249 0.1705  2 Tm 2.84, 3 Pr 3.09-3.16
Se 0.0440 0.0879 0.0606  2 Cu 2.44, 1 Tm 2.72

The density of states at the Fermi level is 0.0 states/eV/cell. As for the space group: Cmc2_1. Its density is 6.859 g cm⁻³. Its uncorrected formation energy is -1390 kJ/mol of formula units.

---

A plane-wave DFT calculation with PBE-GGA was carried out for a relaxed Li2FeRu crystal.

Unit cell a=2.4458 b=4.3587 c=5.0042 alpha=90.00 beta=90.00 gamma=90.00
Last column: nearest neighbours and their distance in Å.
Element x y z (fractional)
Fe 0.5000 0.5000 0.7500  2 Fe 2.45, 2 Ru 2.50
Li 0.0000 0.0000 0.0078  4 Li 2.42-2.58
Li 0.0000 0.0000 0.4922  4 Li 2.42-2.58
Ru 0.5000 0.5000 0.2500  2 Ru 2.45, 2 Fe 2.50

The density of states at the Fermi level is 1.7 states/eV/cell. As for the space group: Pmmm. For the polymorph energy (0 for the lowest one), the calculation gives 102.4 meV per atom. Its density is 5.316 g cm⁻³. As for the formation energy: 98 kJ/mol of formula units.

---

A plane-wave DFT calculation with PBE-GGA was carried out for a relaxed NbFeTeAuS crystal.

Unit cell a=3.1191 b=4.2527 c=14.2505 alpha=90.00 beta=90.00 gamma=90.00
Last column: nearest neighbours and their distance in Å.
Element x y z (fractional)
S 0.5000 0.0000 0.7898  2 Fe 2.28
S 0.5000 0.5000 0.2898  2 Fe 2.28
Nb 0.0000 0.0000 0.2824  2 Fe 2.64, 4 S 2.64, 1 Te 2.87, 2 Au 2.90
Nb 0.0000 0.5000 0.7824  2 Fe 2.64, 4 S 2.64, 1 Te 2.87, 2 Au 2.90
Te 0.0000 0.0000 0.4841  1 Fe 2.69, 1 Nb 2.87
Te 0.0000 0.5000 0.9841  1 Fe 2.69, 1 Nb 2.87
Au 0.5000 0.0000 0.1105  4 Fe 2.78, 2 Nb 2.90
Au 0.5000 0.5000 0.6105  4 Fe 2.78, 2 Nb 2.90
Fe 0.0000 0.0000 0.6732  2 S 2.28
Fe 0.0000 0.5000 0.1732  2 S 2.28

The density of states at the Fermi level is 5.4 states/eV/cell. As for the space group: Amm2. For the polymorph energy (0 for the lowest one), the calculation gives 95.3 meV per atom. Its density is 8.879 g cm⁻³. Its uncorrected formation energy is -67 kJ/mol of formula units.

---

A plane-wave DFT calculation with PBE-GGA was carried out for a relaxed Tb2PmDyIn4 crystal.

Unit cell a=5.3519 b=5.3519 c=9.2877 alpha=73.25 beta=73.25 gamma=60.00
Last column: nearest neighbours and their distance in Å.
Element x y z (fractional)
Tb 0.7503 0.7503 0.7491  8 In 3.25-3.32
Tb 0.2497 0.2497 0.2509  8 In 3.25-3.32
Pm 0.0000 0.0000 0.0000  8 In 3.29-3.31
Dy 0.5000 0.5000 0.5000  8 In 3.26-3.27
In 0.3760 0.3760 0.8719  1 Dy 3.26, 4 Tb 3.27-3.32, 3 Pm 3.29
In 0.8740 0.8740 0.3779  4 Tb 3.25-3.28, 3 Dy 3.27, 1 Pm 3.31
In 0.1260 0.1260 0.6221  4 Tb 3.25-3.28, 3 Dy 3.27, 1 Pm 3.31
In 0.6240 0.6240 0.1281  1 Dy 3.26, 4 Tb 3.27-3.32, 3 Pm 3.29

The density of states at the Fermi level is 3.3 states/eV/cell. As for the space group: R-3m. Its density is 8.290 g cm⁻³. As for the formation energy: -369 kJ/mol of formula units.

---

A plane-wave DFT calculation with PBE-GGA was carried out for a relaxed NaSr12Au6 crystal.

Unit cell a=9.8857 b=9.8857 c=9.8857 alpha=109.47 beta=109.47 gamma=109.47
Last column: nearest neighbours and their distance in Å.
Element x y z (fractional)
Na 0.0000 0.0000 0.0000  12 Sr 4.11
Sr 0.3117 0.1320 0.8204  3 Au 3.09-3.30
Sr 0.3117 0.4913 0.1796  3 Au 3.09-3.30
Sr 0.6883 0.5087 0.8204  3 Au 3.09-3.30
Sr 0.6883 0.8680 0.1796  3 Au 3.09-3.30
Sr 0.1320 0.8204 0.3117  3 Au 3.09-3.30
Sr 0.4913 0.1796 0.3117  3 Au 3.09-3.30
Sr 0.5087 0.8204 0.6883  3 Au 3.09-3.30
Sr 0.8680 0.1796 0.6883  3 Au 3.09-3.30
Sr 0.8204 0.3117 0.1320  3 Au 3.09-3.30
Sr 0.1796 0.3117 0.4913  3 Au 3.09-3.30
Sr 0.8204 0.6883 0.5087  3 Au 3.09-3.30
Sr 0.1796 0.6883 0.8680  3 Au 3.09-3.30
Au 0.3742 0.5000 0.8742  1 Au 2.87, 2 Sr 3.09
Au 0.6258 0.5000 0.1258  1 Au 2.87, 2 Sr 3.09
Au 0.5000 0.8742 0.3742  1 Au 2.87, 2 Sr 3.09
Au 0.5000 0.1258 0.6258  1 Au 2.87, 2 Sr 3.09
Au 0.8742 0.3742 0.5000  1 Au 2.87, 2 Sr 3.09
Au 0.1258 0.6258 0.5000  1 Au 2.87, 2 Sr 3.09

The density of states at the Fermi level is 14.3 states/eV/cell. As for the space group: Im-3. Its density is 5.038 g cm⁻³. As for the formation energy: -917 kJ/mol of formula units.

---

A plane-wave DFT calculation with PBE-GGA was carried out for a relaxed PmHo2CdPd4 crystal.

Unit cell a=4.9050 b=4.9050 c=8.4923 alpha=73.21 beta=73.21 gamma=60.00
Last column: nearest neighbours and their distance in Å.
Element x y z (fractional)
Pm 0.0000 0.0000 0.0000  8 Pd 2.94-3.01
Ho 0.7572 0.7572 0.7285  8 Pd 2.90-3.20
Ho 0.2428 0.2428 0.2715  8 Pd 2.90-3.20
Cd 0.5000 0.5000 0.5000  8 Pd 2.97-3.03
Pd 0.3763 0.3763 0.8712  1 Cd 2.97, 3 Pm 3.01, 4 Ho 3.05-3.20
Pd 0.8777 0.8777 0.3669  4 Ho 2.90-2.93, 1 Pm 2.94, 3 Cd 3.03
Pd 0.1223 0.1223 0.6331  4 Ho 2.90-2.93, 1 Pm 2.94, 3 Cd 3.03
Pd 0.6237 0.6237 0.1288  1 Cd 2.97, 3 Pm 3.01, 4 Ho 3.05-3.20

The density of states at the Fermi level is 4.9 states/eV/cell. As for the space group: R-3m. Its density is 10.083 g cm⁻³. As for the formation energy: -598 kJ/mol of formula units.